CsCaGa3: relaxed, PBE.

Cell lengths 5.8637, 5.8637, 5.8637 Å; angles 90.00, 90.00, 90.00 degrees
Last column: nearest neighbours and their distance in Å.
Element x y z (fractional)
Ga 0.0000 0.0000 0.5000  2 Ca 2.93
Ga 0.0000 0.5000 0.0000  2 Ca 2.93
Ga 0.5000 0.0000 0.0000  2 Ca 2.93
Cs 0.5000 0.5000 0.5000  12 Ga 4.15
Ca 0.0000 0.0000 0.0000  6 Ga 2.93

Output
Mass density   3148 kg/m³
SG   No. 221
Formation enthalpy at 0 K   0.37 eV/atom
Spin magnetization   0.00 Bohr magnetons per cell
DOS at the Fermi energy   1.85 states/eV/atom